Record 1
The following is a DFT calculation (PBE) of a relaxed CaTb2TlO6 crystal.

Cell and atoms, written as extended XYZ:
```
10
Lattice="5.8546 -0.0001 0.0004 2.9272 5.0700 0.0001 2.9273 1.6901 5.1481" Properties=species:S:1:pos:R:3 pbc="T T T"
Ca 8.7818 5.0700 3.0103
Tb 5.8545 3.3802 2.2259
Tb 2.9274 1.6901 4.8128
Tl 2.9274 1.6900 0.3708
O 4.9761 1.4978 1.2831
O 4.6638 5.0817 1.2826
O 7.9238 3.5599 1.2831
O 6.6342 4.8813 3.8507
O 6.7649 1.9540 3.8511
O 4.1643 3.3047 3.8507
```

Record 2
The following is a DFT calculation (PBE) of a relaxed P2BrO2 crystal.

Cell and atoms, written as extended XYZ:
```
5
Lattice="4.0905 0.0000 0.0000 0.0000 4.0905 0.0000 0.0000 0.0000 4.2582" Properties=species:S:1:pos:R:3 pbc="T T T"
P 0.0000 2.0453 0.0000
P 2.0453 0.0000 0.0000
O 0.0000 0.0000 0.0000
O 0.0000 0.0000 2.1291
Br 2.0453 2.0453 2.1291
```

E above lowest polymorph = 28.84 kcal/mol of atoms

Record 3
The following is a DFT calculation (PBE) of a relaxed KRbMn2Se crystal.

Cell and atoms, written as extended XYZ:
```
5
Lattice="5.0132 0.0000 0.0000 0.0000 6.2881 0.0000 0.0000 0.0000 5.0132" Properties=species:S:1:pos:R:3 pbc="T T T"
K 0.0000 3.1441 0.0000
Mn 0.0000 0.0000 2.5066
Mn 2.5066 0.0000 0.0000
Se 0.0000 0.0000 0.0000
Rb 2.5066 3.1441 2.5066
```

no.,VASP energy (eV/cell),E_form (uncorrected) (eV/atom)
1,-67.53,-2.415
2,-17.64,0.954
3,-21.74,0.429